(1)
Density functional theory data (GGA-PBE) for an optimized crystal structure of PaNb2V.

abc: 4.7043 4.7043 4.7043
angles: 60.00 60.00 60.00
With the nearest neighbours (Å) after each atom.
Positions (direct):
Nb 0.2500 0.2500 0.2500  4 Pa 2.88, 4 V 2.88
Nb 0.7500 0.7500 0.7500  4 Pa 2.88, 4 V 2.88
Pa 0.0000 0.0000 0.0000  8 Nb 2.88
V 0.5000 0.5000 0.5000  8 Nb 2.88

Computed properties:
M_tot = 0.0001 μB/atom
SG = No. 225
Uncorrected energy = -9.6499 eV per atom

=====

(2)
Density functional theory data (GGA-PBE) for an optimized crystal structure of PaNbV.

abc: 5.4488 8.3242 6.2436
angles: 126.13 90.00 90.00
With the nearest neighbours (Å) after each atom.
Positions (direct):
Nb 0.3533 0.4211 0.7564  3 V 2.59-2.89, 1 Pa 2.86
Nb 0.8533 0.5789 0.7436  3 V 2.59-2.89, 1 Pa 2.86
Nb 0.6467 0.5789 0.2436  3 V 2.59-2.89, 1 Pa 2.86
Nb 0.1467 0.4211 0.2564  3 V 2.59-2.89, 1 Pa 2.86
Pa 0.3952 0.0783 0.7543  2 Nb 2.86-3.04, 3 Pa 2.86-3.01, 3 V 2.91-3.04
Pa 0.8952 0.9217 0.7457  2 Nb 2.86-3.04, 3 Pa 2.86-3.01, 3 V 2.91-3.04
Pa 0.6048 0.9217 0.2457  2 Nb 2.86-3.04, 3 Pa 2.86-3.01, 3 V 2.91-3.04
Pa 0.1048 0.0783 0.2543  2 Nb 2.86-3.04, 3 Pa 2.86-3.01, 3 V 2.91-3.04
V 0.3654 0.7116 0.7138  3 Nb 2.59-2.89
V 0.8654 0.2884 0.7862  3 Nb 2.59-2.89
V 0.6346 0.2884 0.2862  3 Nb 2.59-2.89
V 0.1346 0.7116 0.2138  3 Nb 2.59-2.89

Computed properties:
M_tot = 0.0001 μB/atom
SG = No. 14
Uncorrected energy = -9.3741 eV per atom

=====

Values for formation enthalpy at 0 K, meV/atom, ordered as above
38.6 187.4